No. 1
Crystalline CeAlOs at its relaxed geometry. Source: the Alexandria database, functional PBE.

## Properties
- Energy of formation: -426 meV per atom
- Mass density: 10.56 Mg/m³

Cell lengths 5.351, 5.351, 5.351 Å; angles 118.84, 115.53, 94.97 degrees
Sites, in units of the cell vectors:
Ce  0.396  0.146  0.250
Ce  0.604  0.854  0.750
Al  0.000  0.000  0.500
Al  0.000  0.500  0.000
Os  0.000  0.500  0.500
Os  0.500  0.500  0.000

=====

No. 2
Crystalline Y2SnAu at its relaxed geometry. Source: the Alexandria database, functional PBE.

## Properties
- Energy of formation: -813 meV per atom
- Mass density: 7.80 Mg/m³

Cell lengths 6.100, 4.482, 8.213 Å; angles 90.00, 110.60, 90.00 degrees
Sites, in units of the cell vectors:
Y  0.208  0.250  0.437
Y  0.221  0.250  0.918
Y  0.779  0.750  0.082
Y  0.792  0.750  0.563
Sn  0.329  0.750  0.209
Sn  0.671  0.250  0.791
Au  0.325  0.750  0.704
Au  0.675  0.250  0.296

=====

No. 3
Crystalline Ba2MgTlIn6 at its relaxed geometry. Source: the Alexandria database, functional PBE.

## Properties
- Energy of formation: -180 meV per atom
- Mass density: 5.99 Mg/m³

Cell lengths 14.176, 14.176, 14.176 Å; angles 30.78, 30.78, 30.78 degrees
Sites, in units of the cell vectors:
Ba  0.105  0.105  0.105
Ba  0.279  0.279  0.279
Ba  0.721  0.721  0.721
Ba  0.895  0.895  0.895
Mg  0.000  0.000  0.000
Mg  0.500  0.500  0.500
Tl  0.426  0.426  0.426
Tl  0.574  0.574  0.574
In  0.071  0.672  0.672
In  0.226  0.226  0.635
In  0.226  0.635  0.226
In  0.328  0.328  0.929
In  0.328  0.929  0.328
In  0.365  0.774  0.774
In  0.635  0.226  0.226
In  0.672  0.071  0.672
In  0.672  0.672  0.071
In  0.774  0.365  0.774
In  0.774  0.774  0.365
In  0.929  0.328  0.328

=====

No. 4
Crystalline AcCe2Pt3 at its relaxed geometry. Source: the Alexandria database, functional PBE.

## Properties
- Energy of formation: -1081 meV per atom
- Mass density: 11.36 Mg/m³

Cell lengths 14.014, 13.359, 7.314 Å; angles 79.51, 69.61, 30.88 degrees
Sites, in units of the cell vectors:
Ac  0.042  0.042  0.208
Ac  0.208  0.208  0.042
Ac  0.792  0.792  0.958
Ac  0.958  0.958  0.792
Ce  0.124  0.124  0.626
Ce  0.291  0.291  0.459
Ce  0.374  0.374  0.876
Ce  0.459  0.459  0.291
Ce  0.541  0.541  0.709
Ce  0.626  0.626  0.124
Ce  0.709  0.709  0.541
Ce  0.876  0.876  0.374
Pt  0.045  0.545  0.221
Pt  0.142  0.608  0.608
Pt  0.221  0.689  0.045
Pt  0.311  0.779  0.455
Pt  0.392  0.858  0.858
Pt  0.455  0.955  0.311
Pt  0.545  0.045  0.689
Pt  0.608  0.142  0.142
Pt  0.689  0.221  0.545
Pt  0.779  0.311  0.955
Pt  0.858  0.392  0.392
Pt  0.955  0.455  0.779

=====

No. 5
Crystalline Tl2SeBr at its relaxed geometry. Source: the Alexandria database, functional PBE.

## Properties
- ΔE_f (raw): -0.4659 eV per atom
- Mass density: 7.19 Mg/m³

Cell lengths 4.457, 4.457, 6.603 Å; angles 90.00, 90.00, 90.00 degrees
Sites, in units of the cell vectors:
Tl  0.000  0.000  0.000
Tl  0.500  0.500  0.500
Se  0.000  0.000  0.500
Br  0.500  0.500  0.000

=====

No. 6
Crystalline Sr2GaGe3Ir4 at its relaxed geometry. Source: the Alexandria database, functional PBE.

## Properties
- Energy of formation: -612 meV per atom
- Mass density: 10.62 Mg/m³

Cell lengths 4.298, 4.298, 10.427 Å; angles 90.00, 90.00, 90.00 degrees
Sites, in units of the cell vectors:
Sr  0.000  0.500  0.249
Sr  0.500  0.000  0.751
Ga  0.000  0.000  0.500
Ge  0.000  0.500  0.874
Ge  0.500  0.000  0.126
Ge  0.500  0.500  0.500
Ir  0.000  0.000  0.000
Ir  0.000  0.500  0.630
Ir  0.500  0.000  0.370
Ir  0.500  0.500  0.000

=====

No. 7
Crystalline Ca2PSe at its relaxed geometry. Source: the Alexandria database, functional PBE.

## Properties
- ΔE_f (raw): -1.1937 eV per atom
- Mass density: 3.40 Mg/m³

Cell lengths 3.529, 3.544, 7.415 Å; angles 90.00, 90.25, 90.00 degrees
Sites, in units of the cell vectors:
Ca  0.002  0.000  0.246
Ca  0.998  0.000  0.754
P  0.500  0.500  0.500
Se  0.500  0.500  0.000

=====

No. 8
Crystalline Rb2CaGeO4 at its relaxed geometry. Source: the Alexandria database, functional PBE.

## Properties
- ΔE_f (raw): -1.7931 eV per atom
- Mass density: 2.93 Mg/m³

Cell lengths 12.977, 11.763, 6.763 Å; angles 84.33, 64.43, 31.24 degrees
Sites, in units of the cell vectors:
Rb  0.060  0.060  0.690
Rb  0.310  0.310  0.940
Rb  0.690  0.690  0.060
Rb  0.940  0.940  0.310
Ca  0.125  0.125  0.125
Ca  0.875  0.875  0.875
Ge  0.375  0.375  0.375
Ge  0.625  0.625  0.625
O  0.049  0.620  0.524
O  0.306  0.524  0.620
O  0.380  0.951  0.694
O  0.476  0.694  0.951
O  0.524  0.306  0.049
O  0.620  0.049  0.306
O  0.694  0.476  0.380
O  0.951  0.380  0.476

=====

No. 9
Crystalline TbMgPb4 at its relaxed geometry. Source: the Alexandria database, functional PBE.

## Properties
- Energy of formation: -48 meV per atom
- Mass density: 8.75 Mg/m³

Cell lengths 4.933, 4.933, 7.889 Å; angles 90.00, 90.00, 90.00 degrees
Sites, in units of the cell vectors:
Tb  0.000  0.000  0.000
Mg  0.500  0.500  0.500
Pb  0.000  0.500  0.267
Pb  0.000  0.500  0.733
Pb  0.500  0.000  0.267
Pb  0.500  0.000  0.733

=====

No. 10
Crystalline ZnFe2Au at its relaxed geometry. Source: the Alexandria database, functional PBE.

## Properties
- Energy of formation: 123 meV per atom
- Mass density: 11.05 Mg/m³

Cell lengths 4.824, 4.824, 4.463 Å; angles 101.98, 101.98, 33.68 degrees
Sites, in units of the cell vectors:
Zn  0.000  0.000  0.000
Fe  0.252  0.252  0.757
Fe  0.748  0.748  0.243
Au  0.500  0.500  0.500

=====

No. 11
Crystalline Th4SnBi2Sb at its relaxed geometry. Source: the Alexandria database, functional PBE.

## Properties
- ΔE_f (raw): -0.6495 eV per atom
- Mass density: 9.82 Mg/m³

Cell lengths 7.882, 4.549, 7.930 Å; angles 90.00, 109.34, 90.00 degrees
Sites, in units of the cell vectors:
Th  0.245  0.000  0.238
Th  0.253  0.500  0.762
Th  0.747  0.500  0.238
Th  0.755  0.000  0.762
Sn  0.000  0.500  0.000
Bi  0.000  0.000  0.500
Bi  0.500  0.500  0.500
Sb  0.500  0.000  0.000

=====

No. 12
Crystalline NaFe2C at its relaxed geometry. Source: the Alexandria database, functional PBE.

## Properties
- Energy of formation: 673 meV per atom
- Mass density: 3.44 Mg/m³

Cell lengths 5.878, 5.878, 5.878 Å; angles 120.85, 120.85, 88.53 degrees
Sites, in units of the cell vectors:
Na  0.375  0.625  0.750
Na  0.625  0.375  0.250
Fe  0.000  0.000  0.000
Fe  0.000  0.000  0.500
Fe  0.000  0.500  0.000
Fe  0.500  0.000  0.500
C  0.125  0.875  0.250
C  0.875  0.125  0.750

=====

No. 13
Crystalline TlF at its relaxed geometry. Source: the Alexandria database, functional PBE.

## Properties
- ΔE_f (raw): -1.7483 eV per atom
- Mass density: 7.86 Mg/m³

Cell lengths 3.833, 3.833, 6.427 Å; angles 90.00, 90.00, 90.00 degrees
Sites, in units of the cell vectors:
Tl  0.250  0.250  0.242
Tl  0.750  0.750  0.758
F  0.250  0.250  0.855
F  0.750  0.750  0.145

=====

No. 14
Crystalline TbSc2Tl at its relaxed geometry. Source: the Alexandria database, functional PBE.

## Properties
- Energy of formation: -135 meV per atom
- Mass density: 7.28 Mg/m³

Cell lengths 3.467, 3.467, 8.595 Å; angles 90.00, 90.00, 90.00 degrees
Sites, in units of the cell vectors:
Tb  0.000  0.000  0.000
Sc  0.500  0.500  0.273
Sc  0.500  0.500  0.727
Tl  0.000  0.000  0.500

=====

No. 15
Crystalline Ba2SmPaS6 at its relaxed geometry. Source: the Alexandria database, functional PBE.

## Properties
- ΔE_f (raw): -1.9802 eV per atom
- Mass density: 4.89 Mg/m³

Cell lengths 7.276, 7.580, 12.738 Å; angles 90.00, 124.82, 90.00 degrees
Sites, in units of the cell vectors:
Ba  0.232  0.064  0.251
Ba  0.232  0.436  0.751
Ba  0.768  0.564  0.249
Ba  0.768  0.936  0.749
Sm  0.500  0.000  0.000
Sm  0.500  0.500  0.500
Pa  0.000  0.000  0.500
Pa  0.000  0.500  0.000
S  0.145  0.211  0.950
S  0.145  0.289  0.450
S  0.244  0.697  0.953
S  0.244  0.803  0.453
S  0.335  0.025  0.743
S  0.335  0.475  0.243
S  0.665  0.525  0.757
S  0.665  0.975  0.257
S  0.756  0.197  0.547
S  0.756  0.303  0.047
S  0.855  0.711  0.550
S  0.855  0.789  0.050

=====

No. 16
Crystalline Tl2GaAu at its relaxed geometry. Source: the Alexandria database, functional PBE.

## Properties
- Energy of formation: 84 meV per atom
- Mass density: 11.46 Mg/m³

Cell lengths 5.172, 5.172, 5.172 Å; angles 60.00, 60.00, 60.00 degrees
Sites, in units of the cell vectors:
Tl  0.250  0.250  0.250
Tl  0.750  0.750  0.750
Ga  0.000  0.000  0.000
Au  0.500  0.500  0.500

=====

No. 17
Crystalline Na2Bi2Pb5 at its relaxed geometry. Source: the Alexandria database, functional PBE.

## Properties
- Energy of formation: -40 meV per atom
- Mass density: 8.34 Mg/m³

Cell lengths 5.803, 5.871, 9.294 Å; angles 73.32, 85.88, 80.19 degrees
Sites, in units of the cell vectors:
Na  0.001  0.369  0.187
Na  0.999  0.631  0.813
Bi  0.012  0.788  0.411
Bi  0.988  0.212  0.589
Pb  0.476  0.105  0.802
Pb  0.490  0.302  0.396
Pb  0.500  0.500  0.000
Pb  0.510  0.698  0.604
Pb  0.524  0.895  0.198

=====

No. 18
Crystalline YMg2I6 at its relaxed geometry. Source: the Alexandria database, functional PBE.

## Properties
- ΔE_f (raw): -0.9810 eV per atom
- Mass density: 3.52 Mg/m³

Cell lengths 9.047, 9.047, 9.047 Å; angles 51.90, 51.90, 51.90 degrees
Sites, in units of the cell vectors:
Y  0.000  0.000  0.000
Mg  0.269  0.269  0.269
Mg  0.394  0.394  0.394
I  0.085  0.384  0.775
I  0.225  0.918  0.614
I  0.384  0.775  0.085
I  0.614  0.225  0.918
I  0.775  0.085  0.384
I  0.918  0.614  0.225

=====

No. 19
Crystalline SrCdAsF2 at its relaxed geometry. Source: the Alexandria database, functional PBE.

## Properties
- ΔE_f (raw): -1.7158 eV per atom
- Mass density: 3.73 Mg/m³

Cell lengths 4.490, 4.490, 6.916 Å; angles 90.00, 90.00, 90.00 degrees
Sites, in units of the cell vectors:
Sr  0.000  0.000  0.000
Cd  0.500  0.500  0.500
As  0.000  0.000  0.500
F  0.000  0.500  0.000
F  0.500  0.000  0.000

=====

No. 20
Crystalline LaUIn2O8 at its relaxed geometry. Source: the Alexandria database, functional PBE.

## Properties
- ΔE_f (raw): -2.3228 eV per atom
- Mass density: 6.80 Mg/m³

Cell lengths 5.012, 5.012, 7.136 Å; angles 90.00, 90.00, 90.24 degrees
Sites, in units of the cell vectors:
La  0.000  0.000  0.000
U  0.000  0.000  0.500
In  0.500  0.500  0.259
In  0.500  0.500  0.741
O  0.192  0.192  0.281
O  0.192  0.192  0.719
O  0.300  0.700  0.500
O  0.326  0.674  0.000
O  0.674  0.326  0.000
O  0.700  0.300  0.500
O  0.808  0.808  0.281
O  0.808  0.808  0.719